Compound: Dy2TlOs
Source: the Alexandria database
Functional: PBE
Structure: optimized geometry

a b c (Å): 3.9069 3.9069 29.1881
angles (deg): 90.00 90.00 120.00
Space group R-3m (No. 166, hexagonal axes)
One atom of each set of equivalent atoms:
1 Dy 0.0000 0.0000 0.1139
2 Tl 0.0000 0.0000 0.0000
3 Os 0.0000 0.0000 0.5000

Distance to the lowest polymorph of the same formula: 25.1 kJ/mol of atoms
DFT total energy: -67.10 eV/cell
ΔE_f: 0.108 eV/atom